TlOsAu2: optimized geometry, GGA-PBEsol.

```
TlOsAu2
1.0
1.466 0.847 9.424
-1.466 0.847 9.424
0.000 -1.693 9.424
Tl Os Au
1 1 2
Direct
0.000 0.000 0.000
0.750 0.750 0.750
0.242 0.242 0.242
0.494 0.494 0.494
```

Formation enthalpy at 0 K: 2.4 eV per formula unit
Distance to the lowest polymorph of the same formula: 0.00 eV/f.u.
Size of the total moment: 0.001 Bohr magnetons per cell
Crystal system: trigonal
Space-group type: R3m
Calculated total energy: -5.09 eV per atom